Record 1
Cu3AsS3 | PBE | relaxed

Properties
electronic total energy = -235.07 eV per cell

Cell lengths 9.9694, 9.9694, 9.9694 Å; angles 90.00, 90.00, 90.00 degrees
Closest atoms and distances in Å follow each position.
Space group I-43m (No. 217)
Symmetry-distinct sites (fractional):
Cu 0.0000 0.0000 0.1815  2 S 2.34, 4 Cu 2.56
Cu 0.0000 0.2500 0.5000  4 S 2.30
As 0.2380 0.2380 0.2380  3 S 2.28
S 0.1137 0.1137 0.6478  1 As 2.28, 3 Cu 2.30-2.34

---

Record 2
PrReB | PBE | relaxed

Properties
relative energy among the computed polymorphs = 0.000 eV per atom
electronic total energy = -86.35 eV per cell

Cell lengths 6.0208, 6.0208, 6.0208 Å; angles 90.00, 90.00, 90.00 degrees
Closest atoms and distances in Å follow each position.
Space group F-43m (No. 216)
Symmetry-distinct sites (fractional):
Pr 0.0000 0.0000 0.0000  4 B 2.61
Re 0.0000 0.0000 0.5000  4 B 2.61
B 0.2500 0.2500 0.2500  4 Pr 2.61, 4 Re 2.61

---

Question: The highest electronic total energy belongs to which entry?
Answer: PrReB

---

Question: Number 1 is which compound?
Answer: Cu3AsS3

---

Question: The highest electronic total energy belongs to which entry?
Answer: PrReB

---

Question: Number 2 is which compound?
Answer: PrReB